(1)
A plane-wave DFT calculation with GGA-PBEsol was carried out for YAlPb2 after structural relaxation.

## Properties
Fermi-level density of states, states/eV/atom: 0.464
DFT formation energy, eV per atom: -0.28

Unit cell a=4.6653 b=4.6653 c=4.5467 alpha=90.00 beta=90.00 gamma=90.00
With the nearest neighbours (Å) after each atom.
Atoms (fractional coordinates):
Y1 0.0000 0.0000 0.0000  8 Pb 3.26, 4 Al 3.30
Al1 0.5000 0.5000 0.0000  8 Pb 3.26, 4 Y 3.30
Pb1 0.0000 0.5000 0.5000  4 Al 3.26, 4 Y 3.26, 4 Pb 3.30
Pb2 0.5000 0.0000 0.5000  4 Al 3.26, 4 Y 3.26, 4 Pb 3.30



(2)
A plane-wave DFT calculation with GGA-PBEsol was carried out for Y2AlPb after structural relaxation.

## Properties
Fermi-level density of states, states/eV/atom: 0.699
DFT formation energy, eV per atom: -0.30

Unit cell a=5.0451 b=5.0451 c=6.4519 alpha=100.78 beta=100.78 gamma=41.71
With the nearest neighbours (Å) after each atom.
Atoms (fractional coordinates):
Y1 0.2456 0.2456 0.2352  3 Al 3.08, 3 Pb 3.14-3.20
Y2 0.7544 0.7544 0.7648  3 Al 3.08, 3 Pb 3.14-3.20
Al1 0.5000 0.5000 0.0000  6 Y 3.08
Pb1 0.0000 0.0000 0.5000  6 Y 3.14-3.20



(3)
A plane-wave DFT calculation with GGA-PBEsol was carried out for Y2AlPb after structural relaxation.

## Properties
Fermi-level density of states, states/eV/atom: 0.725
DFT formation energy, eV per atom: -0.52

Unit cell a=4.1849 b=6.0187 c=6.0187 alpha=43.41 beta=90.00 gamma=90.00
With the nearest neighbours (Å) after each atom.
Atoms (fractional coordinates):
Y1 0.0000 0.0000 0.0000  4 Al 3.11, 3 Pb 3.15-3.31
Y2 0.5000 0.2783 0.2783  3 Al 3.04-3.38, 4 Pb 3.13
Al1 0.5000 0.5504 0.5504  2 Pb 2.82, 5 Y 3.04-3.11
Pb1 0.0000 0.7188 0.7188  2 Al 2.82, 5 Y 3.13-3.15



(4)
A plane-wave DFT calculation with GGA-PBEsol was carried out for YAl2Pb after structural relaxation.

## Properties
Fermi-level density of states, states/eV/atom: 0.381
DFT formation energy, eV per atom: -0.26

Unit cell a=5.7225 b=5.7225 c=5.7225 alpha=136.42 beta=136.42 gamma=63.33
With the nearest neighbours (Å) after each atom.
Atoms (fractional coordinates):
Y1 0.0000 0.0000 0.0000  4 Pb 3.00, 8 Al 3.23
Al1 0.2500 0.7500 0.5000  4 Al 3.00, 4 Pb 3.23, 4 Y 3.23
Al2 0.7500 0.2500 0.5000  4 Al 3.00, 4 Pb 3.23, 4 Y 3.23
Pb1 0.5000 0.5000 0.0000  4 Y 3.00, 8 Al 3.23



(5)
A plane-wave DFT calculation with GGA-PBEsol was carried out for YAlPb after structural relaxation.

## Properties
Fermi-level density of states, states/eV/atom: 0.365
DFT formation energy, eV per atom: 0.06

Unit cell a=4.9680 b=4.9680 c=4.9680 alpha=60.00 beta=60.00 gamma=60.00
With the nearest neighbours (Å) after each atom.
Atoms (fractional coordinates):
Y1 0.0000 0.0000 0.0000  4 Al 3.04, 4 Pb 3.04
Al1 0.7500 0.7500 0.7500  4 Y 3.04
Pb1 0.2500 0.2500 0.2500  4 Y 3.04



(6)
A plane-wave DFT calculation with GGA-PBEsol was carried out for Y4AlPb after structural relaxation.

## Properties
Fermi-level density of states, states/eV/atom: 0.948
DFT formation energy, eV per atom: 0.23

Unit cell a=6.1673 b=6.1673 c=6.1673 alpha=60.00 beta=60.00 gamma=60.00
With the nearest neighbours (Å) after each atom.
Atoms (fractional coordinates):
Y1 0.1254 0.1254 0.1254  6 Y 3.07-3.09
Y2 0.1254 0.1254 0.6239  6 Y 3.07-3.09
Y3 0.1254 0.6239 0.1254  6 Y 3.07-3.09
Y4 0.6239 0.1254 0.1254  6 Y 3.07-3.09
Al1 0.5000 0.5000 0.5000  12 Y 3.61, 4 Pb 3.78
Pb1 0.7500 0.7500 0.7500  12 Y 3.62, 4 Al 3.78



(7)
A plane-wave DFT calculation with GGA-PBEsol was carried out for YAl2Pb after structural relaxation.

## Properties
Fermi-level density of states, states/eV/atom: 0.454
DFT formation energy, eV per atom: 0.02

Unit cell a=6.4358 b=6.4358 c=6.4358 alpha=102.63 beta=102.63 gamma=124.23
With the nearest neighbours (Å) after each atom.
Atoms (fractional coordinates):
Y1 0.0000 0.0000 0.0000  2 Pb 3.01, 4 Al 3.09
Y2 0.7500 0.2500 0.5000  2 Pb 3.01, 4 Al 3.09
Al1 0.1509 0.6250 0.0259  2 Pb 2.80, 2 Al 3.04, 2 Y 3.09
Al2 0.3750 0.4009 0.5259  2 Pb 2.80, 2 Al 3.04, 2 Y 3.09
Al3 0.5991 0.1250 0.9741  2 Pb 2.80, 2 Al 3.04, 2 Y 3.09
Al4 0.8750 0.8491 0.4741  2 Pb 2.80, 2 Al 3.04, 2 Y 3.09
Pb1 0.2500 0.7500 0.5000  4 Al 2.80, 2 Y 3.01
Pb2 0.5000 0.5000 0.0000  4 Al 2.80, 2 Y 3.01



(8)
A plane-wave DFT calculation with GGA-PBEsol was carried out for Al2Zn2Pb after structural relaxation.

## Properties
Fermi-level density of states, states/eV/atom: 0.349
DFT formation energy, eV per atom: 0.09

Unit cell a=6.4824 b=6.4824 c=6.4824 alpha=143.71 beta=143.71 gamma=52.26
With the nearest neighbours (Å) after each atom.
Atoms (fractional coordinates):
Al1 0.2500 0.7500 0.5000  4 Zn 2.62, 4 Al 2.86
Al2 0.7500 0.2500 0.5000  4 Zn 2.62, 4 Al 2.86
Zn1 0.1062 0.1062 0.0000  1 Zn 2.47, 4 Al 2.62
Zn2 0.8938 0.8938 0.0000  1 Zn 2.47, 4 Al 2.62
Pb1 0.5000 0.5000 0.0000  8 Zn 3.11